Run 1
Nb2InO after structural relaxation. Source: Alexandria via LeMat-Bulk, functional GGA-PBE.

abc: 4.5410 4.5410 4.5410
angles: 60.00 60.00 60.00
Fractional coordinates of all 4 atoms:
1 Nb 0.2500 0.2500 0.2500
2 Nb 0.7500 0.7500 0.7500
3 In 0.0000 0.0000 0.0000
4 O 0.5000 0.5000 0.5000

***

Run 2
Nb2InO after structural relaxation. Source: Alexandria via LeMat-Bulk, functional GGA-PBE.

abc: 6.9823 6.9823 6.9823
angles: 135.39 135.39 64.92
Fractional coordinates of all 8 atoms:
1 Nb 0.3750 0.2202 0.3452
2 Nb 0.7798 0.1250 0.1548
3 Nb 0.8750 0.0298 0.6548
4 Nb 0.9702 0.6250 0.8452
5 In 0.2500 0.7500 0.5000
6 In 0.5000 0.5000 0.0000
7 O 0.0000 0.0000 0.0000
8 O 0.7500 0.2500 0.5000

***

Energy above the most stable structure, in meV per atom: run 1 551; run 2 0

***

Run 1
NbIn3Os after structural relaxation. Source: Alexandria via LeMat-Bulk, functional GGA-PBE.

abc: 5.3018 5.3018 5.3018
angles: 90.00 90.00 90.00
Fractional coordinates of all 5 atoms:
1 Nb 0.0000 0.0000 0.0000
2 In 0.0000 0.0000 0.5000
3 In 0.0000 0.5000 0.0000
4 In 0.5000 0.0000 0.0000
5 Os 0.5000 0.5000 0.5000

***

Run 2
NbIn3Os after structural relaxation. Source: Alexandria via LeMat-Bulk, functional GGA-PBE.

abc: 5.1241 5.1241 5.1241
angles: 90.00 90.00 90.00
Fractional coordinates of all 5 atoms:
1 Nb 0.0000 0.0000 0.0000
2 In 0.0000 0.5000 0.5000
3 In 0.5000 0.0000 0.5000
4 In 0.5000 0.5000 0.0000
5 Os 0.5000 0.5000 0.5000

***

Energy above the most stable structure, in meV per atom: run 1 824; run 2 0

***

Run 1
Nb2InP after structural relaxation. Source: Alexandria via LeMat-Bulk, functional GGA-PBE.

abc: 4.6277 4.6277 4.6277
angles: 60.00 60.00 60.00
Fractional coordinates of all 4 atoms:
1 Nb 0.2500 0.2500 0.2500
2 Nb 0.7500 0.7500 0.7500
3 In 0.0000 0.0000 0.0000
4 P 0.5000 0.5000 0.5000

***

Run 2
Nb2InP after structural relaxation. Source: Alexandria via LeMat-Bulk, functional GGA-PBE.

abc: 10.1869 10.1869 10.1869
angles: 157.55 157.55 31.96
Fractional coordinates of all 8 atoms:
1 Nb 0.1186 0.6250 0.9936
2 Nb 0.3750 0.3686 0.4936
3 Nb 0.6314 0.1250 0.0064
4 Nb 0.8750 0.8814 0.5064
5 In 0.2500 0.7500 0.5000
6 In 0.5000 0.5000 0.0000
7 P 0.0000 0.0000 0.0000
8 P 0.7500 0.2500 0.5000

***

Energy above the most stable structure, in meV per atom: run 1 0; run 2 162